Here is NpSbOs after structural relaxation from Alexandria. Energies are from PBE.

Cell lengths 11.0631, 11.0631, 11.0631 Å; angles 160.95, 160.95, 27.07 degrees
Positions (direct):
Np 0.1604 0.1604 0.0000
Np 0.8396 0.8396 0.0000
Sb 0.4279 0.4279 0.0000
Sb 0.5721 0.5721 0.0000
Os 0.2963 0.2963 0.0000
Os 0.7037 0.7037 0.0000

D(E_F) = 2.25 states/eV per atom
space group = I4/mmm, No. 139
calculated density = 12.643 g cm⁻³
raw formation energy = 0.23 eV per atom
final energy = -9.197 eV/atom
size of the total moment = 5.3 μB/cell

Here is Np2SbOs after structural relaxation from Alexandria. Energies are from PBE.

Cell lengths 3.2044, 3.2044, 8.6110 Å; angles 90.00, 90.00, 90.00 degrees
Positions (direct):
Np 0.0000 0.0000 0.2130
Np 0.0000 0.0000 0.7870
Sb 0.5000 0.5000 0.5000
Os 0.5000 0.5000 0.0000

D(E_F) = 2.61 states/eV per atom
space group = P4/mmm, No. 123
calculated density = 14.761 g cm⁻³
raw formation energy = -0.04 eV per atom
final energy = -10.345 eV/atom
size of the total moment = 7.5 μB/cell

Here is NpScOs4 after structural relaxation from Alexandria. Energies are from PBE.

Cell lengths 5.2863, 5.2863, 5.2863 Å; angles 60.00, 60.00, 60.00 degrees
Positions (direct):
Np 0.0000 0.0000 0.0000
Sc 0.7500 0.7500 0.7500
Os 0.3754 0.3754 0.3754
Os 0.3754 0.3754 0.8739
Os 0.3754 0.8739 0.3754
Os 0.8739 0.3754 0.3754

D(E_F) = 1.71 states/eV per atom
space group = F-43m, No. 216
calculated density = 16.578 g cm⁻³
final energy = -10.834 eV/atom
formation energy from the elements = -0.14 eV per atom
size of the total moment = 3.0 μB/cell

Here is NpScTcOs after structural relaxation from Alexandria. Energies are from PBE.

Cell lengths 4.6596, 4.6596, 4.6596 Å; angles 60.00, 60.00, 60.00 degrees
Positions (direct):
Np 0.0000 0.0000 0.0000
Sc 0.5000 0.5000 0.5000
Tc 0.2500 0.2500 0.2500
Os 0.7500 0.7500 0.7500

D(E_F) = 1.42 states/eV per atom
space group = F-43m, No. 216
calculated density = 13.235 g cm⁻³
final energy = -10.351 eV/atom
formation energy from the elements = -0.13 eV per atom
size of the total moment = 2.8 μB/cell

Here is Np4Si8Os after structural relaxation from Alexandria. Energies are from PBE.

Cell lengths 3.8950, 4.1735, 14.5713 Å; angles 90.00, 90.00, 90.00 degrees
Positions (direct):
Np 0.0000 0.0000 0.0000
Np 0.0000 0.5000 0.4636
Np 0.5000 0.0000 0.7890
Np 0.5000 0.5000 0.2902
Si 0.0000 0.0000 0.3205
Si 0.0000 0.0000 0.6066
Si 0.0000 0.5000 0.1426
Si 0.0000 0.5000 0.8536
Si 0.5000 0.0000 0.1503
Si 0.5000 0.0000 0.4474
Si 0.5000 0.5000 0.6008
Si 0.5000 0.5000 0.9558
Os 0.0000 0.5000 0.6894

D(E_F) = 1.93 states/eV per atom
space group = Pmm2, No. 25
calculated density = 9.554 g cm⁻³
raw formation energy = -0.15 eV per atom
final energy = -8.328 eV/atom
size of the total moment = 14.0 μB/cell

Here is Np2Si4Os5 after structural relaxation from Alexandria. Energies are from PBE.

Cell lengths 8.1401, 7.0530, 5.7959 Å; angles 77.94, 57.92, 44.13 degrees
Positions (direct):
Np 0.1137 0.1137 0.8863
Np 0.8863 0.8863 0.1137
Si 0.2178 0.5062 0.4938
Si 0.4938 0.7822 0.2178
Si 0.5062 0.2178 0.7822
Si 0.7822 0.4938 0.5062
Os 0.0000 0.0000 0.5000
Os 0.2500 0.2500 0.2500
Os 0.5000 0.5000 0.0000
Os 0.5000 0.5000 0.5000
Os 0.7500 0.7500 0.7500

D(E_F) = 1.75 states/eV per atom
space group = Fmmm, No. 69
calculated density = 13.596 g cm⁻³
raw formation energy = -0.25 eV per atom
final energy = -9.675 eV/atom
size of the total moment = 7.3 μB/cell